# 1
The following is a PBE calculation of a geometry-optimized Ba5HRh structure, from Alexandria.

Space-group type: C2/c (15)
E_tot, eV per atom: -3.0454
Total moment, μB/f.u.: 0.000

a b c (Å): 8.0550 8.0550 12.0696
angles (deg): 69.21 69.21 85.08
Fractional coordinates of all 14 atoms:
Ba (0.0585, 0.9415, 0.2500)
Ba (0.9415, 0.0585, 0.7500)
Ba (0.7611, 0.3071, 0.0138)
Ba (0.2389, 0.6929, 0.9862)
Ba (0.6929, 0.2389, 0.4862)
Ba (0.2455, 0.3388, 0.3520)
Ba (0.7545, 0.6612, 0.6480)
Ba (0.3387, 0.2455, 0.8520)
Ba (0.3071, 0.7611, 0.5138)
Ba (0.6612, 0.7545, 0.1480)
Rh (0.0000, 0.0000, 0.5000)
Rh (0.0000, 0.0000, 0.0000)
H (0.3033, 0.6967, 0.2500)
H (0.6967, 0.3033, 0.7500)

***

# 2
The following is a PBE calculation of a geometry-optimized Nd2PdO4 structure, from Alexandria.

Energy relative to the elements, uncorrected, eV/atom: -2.53
Space-group type: Cmce (64)
E_tot, eV per atom: -7.4712
Relative energy among the computed polymorphs, meV/atom: 0
Total moment, μB/f.u.: 0.000

a b c (Å): 5.7210 5.7247 6.9683
angles (deg): 114.25 90.00 90.00
Fractional coordinates of all 14 atoms:
O (0.2500, 0.4904, 0.5000)
O (0.8121, 0.6879, 0.0000)
O (0.1879, 0.3121, 0.0000)
O (0.6879, 0.1879, 0.0000)
O (0.2500, 0.9904, 0.5000)
O (0.7500, 0.0096, 0.5000)
O (0.7500, 0.5096, 0.5000)
O (0.3121, 0.8121, 0.0000)
Pd (0.5000, 0.5000, 0.0000)
Pd (0.0000, 0.0000, 0.0000)
Nd (0.0000, 0.3440, 0.6880)
Nd (0.0000, 0.6560, 0.3120)
Nd (0.5000, 0.1560, 0.3120)
Nd (0.5000, 0.8440, 0.6880)

***

# 3
The following is a PBE calculation of a geometry-optimized MnRh2C structure, from Alexandria.

Space-group type: I-42d (122)
E_tot, eV per atom: -7.7946
Total moment, μB/f.u.: 0.001
Formation enthalpy at 0 K, eV per atom: 0.480

a b c (Å): 7.0755 7.0755 5.3933
angles (deg): 49.01 49.01 90.00
Fractional coordinates of all 8 atoms:
Mn (0.0000, 0.0000, 0.0000)
Mn (0.7500, 0.2500, 0.5000)
C (0.2500, 0.7500, 0.5000)
C (0.5000, 0.5000, 0.0000)
Rh (0.8750, 0.7464, 0.7500)
Rh (0.3750, 0.5036, 0.7500)
Rh (0.2536, 0.6250, 0.2500)
Rh (0.4964, 0.1250, 0.2500)